No. 1
This record from the Alexandria database describes a geometry-optimized CsZnSn2 structure. The functional is PBE.

```
CsZnSn2
1.0
4.659 0.000 0.000
2.329 4.035 0.000
2.329 1.345 7.728
Zn Sn Cs
1 2 1
Direct
0.675 0.675 0.976
0.292 0.292 0.125
0.039 0.039 0.883
0.495 0.495 0.516
```

***

No. 2
This record from the Alexandria database describes a geometry-optimized CsZr3Sn structure. The functional is PBE.

Results
Polymorph energy (0 for the lowest one) ... 0.687 eV/atom

```
CsZr3Sn
1.0
5.245 0.000 0.000
0.000 5.245 0.000
0.000 0.000 5.245
Cs Zr Sn
1 3 1
Direct
0.000 0.000 0.000
0.500 0.000 0.000
0.000 0.500 0.000
0.000 0.000 0.500
0.500 0.500 0.500
```

***

No. 3
This record from the Alexandria database describes a geometry-optimized CsZr3Sn structure. The functional is PBE.

Results
Polymorph energy (0 for the lowest one) ... 0.000 eV/atom

```
CsZr3Sn
1.0
5.562 0.000 0.000
0.000 5.562 0.000
0.000 0.000 5.562
Zr Cs Sn
3 1 1
Direct
0.500 0.000 0.000
0.000 0.000 0.500
0.000 0.500 0.000
0.500 0.500 0.500
0.000 0.000 0.000
```

***

No. 4
This record from the Alexandria database describes a geometry-optimized Cs3ZrSn structure. The functional is PBE.

```
Cs3ZrSn
1.0
-3.483 0.093 6.027
-3.118 -5.986 -1.710
5.159 -3.554 3.036
Zr Sn Cs
1 1 3
Direct
0.000 0.000 0.000
0.500 0.500 0.500
0.000 0.500 0.000
0.000 0.000 0.500
0.500 0.000 0.000
```

***

No. 5
This record from the Alexandria database describes a geometry-optimized CsSr structure. The functional is PBE.

```
CsSr
1.0
-3.058 -0.513 3.285
4.384 0.355 1.031
-1.611 16.697 1.108
Sr Cs
2 2
Direct
0.333 0.667 0.090
0.667 0.333 0.590
0.333 0.667 0.828
0.667 0.333 0.328
```

***

No. 6
This record from the Alexandria database describes a geometry-optimized CsSr structure. The functional is PBE.

```
CsSr
1.0
20.683 0.000 0.000
0.000 4.535 0.000
0.000 0.000 10.956
Sr Cs
6 6
Direct
0.000 0.762 0.362
0.601 0.736 0.118
0.500 0.238 0.862
0.101 0.264 0.618
0.399 0.736 0.118
0.899 0.264 0.618
0.500 0.238 0.449
0.200 0.242 0.228
0.000 0.762 0.949
0.700 0.758 0.728
0.800 0.242 0.228
0.300 0.758 0.728
```

***

No. 7
This record from the Alexandria database describes a geometry-optimized CsSr5 structure. The functional is PBE.

```
CsSr5
1.0
-1.976 -2.734 -3.092
0.885 -5.632 4.414
-10.081 4.773 2.223
Sr Cs
5 1
Direct
0.500 0.176 0.351
0.000 0.666 0.332
0.500 0.824 0.649
0.500 0.500 0.000
0.000 0.334 0.668
0.000 0.000 0.000
```

***

No. 8
This record from the Alexandria database describes a geometry-optimized CsSr structure. The functional is PBE.

```
CsSr
1.0
10.722 0.000 0.000
0.000 10.722 0.000
0.000 0.000 10.722
Cs Sr
4 4
Direct
0.000 0.500 0.500
0.000 0.000 0.000
0.500 0.500 0.000
0.500 0.000 0.500
0.250 0.750 0.750
0.750 0.250 0.750
0.750 0.750 0.250
0.250 0.250 0.250
```

***

No. 9
This record from the Alexandria database describes a geometry-optimized CsSr structure. The functional is PBE.

```
CsSr
1.0
13.362 0.000 0.000
0.000 13.362 0.000
0.000 0.000 13.362
Sr Cs
6 6
Direct
0.500 0.750 0.000
0.000 0.500 0.250
0.500 0.250 0.000
0.750 0.000 0.500
0.000 0.500 0.750
0.250 0.000 0.500
0.000 0.250 0.500
0.500 0.000 0.250
0.750 0.500 0.000
0.500 0.000 0.750
0.250 0.500 0.000
0.000 0.750 0.500
```

***

No. 10
This record from the Alexandria database describes a geometry-optimized CsSr structure. The functional is PBE.

```
CsSr
1.0
-1.607 8.721 -0.905
-3.192 0.275 8.319
8.167 1.823 3.073
Sr Cs
4 4
Direct
0.000 0.000 0.000
0.500 0.000 0.500
0.500 0.500 0.000
0.000 0.500 0.500
0.000 0.500 0.000
0.500 0.500 0.500
0.000 0.000 0.500
0.500 0.000 0.000
```

***

No. 11
This record from the Alexandria database describes a geometry-optimized CsSr structure. The functional is PBE.

```
CsSr
1.0
14.120 0.000 0.000
0.000 14.120 0.000
0.000 0.000 14.120
Cs Sr
8 8
Direct
0.706 0.706 0.294
0.294 0.294 0.294
0.794 0.794 0.794
0.206 0.794 0.206
0.706 0.294 0.706
0.794 0.206 0.206
0.206 0.206 0.794
0.294 0.706 0.706
0.603 0.397 0.397
0.603 0.603 0.603
0.397 0.397 0.603
0.397 0.603 0.397
0.103 0.897 0.897
0.897 0.897 0.103
0.103 0.103 0.103
0.897 0.103 0.897
```

***

No. 12
This record from the Alexandria database describes a geometry-optimized CsSr4 structure. The functional is PBE.

```
CsSr4
1.0
6.719 0.000 0.000
0.000 6.719 0.000
0.000 0.000 6.719
Sr Cs
4 1
Direct
0.000 0.500 0.500
0.500 0.500 0.000
0.500 0.000 0.500
0.000 0.000 0.000
0.500 0.500 0.500
```

***

Number 1: calculated formation energy -0.06 eV per atom. Number 2: calculated formation energy 1.78 eV per atom. Number 3: calculated formation energy 1.09 eV per atom. Number 4: calculated formation energy 1.12 eV per atom. Number 5: calculated formation energy 0.22 eV per atom. Number 6: calculated formation energy 0.19 eV per atom. Number 7: calculated formation energy 0.11 eV per atom. Number 8: calculated formation energy 0.74 eV per atom. Number 9: calculated formation energy 0.72 eV per atom. Number 10: calculated formation energy 0.47 eV per atom. Number 11: calculated formation energy 0.47 eV per atom. Number 12: calculated formation energy 0.66 eV per atom.